Nd2Dy2Tm2Mg after structural relaxation, computed with PBE-GGA.

Cell lengths 6.335, 6.335, 11.564 Å; angles 117.84, 117.84, 33.47 degrees
Fractional positions:
1 Nd 0.026 0.026 0.244
2 Nd 0.974 0.974 0.756
3 Dy 0.181 0.181 0.588
4 Dy 0.819 0.819 0.412
5 Tm 0.245 0.245 0.125
6 Tm 0.755 0.755 0.875
7 Mg 0.500 0.500 0.000

N(E_F)	8.509	states/eV/cell
size of the total moment	0.0000	μB per atom
formation energy	0.089	eV/atom
density	7.25	g/cm³
electronic total energy	-4.0937	eV per atom

NdDy4Y2Mg after structural relaxation, computed with PBE-GGA.

Cell lengths 5.791, 5.791, 7.468 Å; angles 90.00, 90.00, 90.00 degrees
Fractional positions:
1 Nd 0.000 0.000 0.000
2 Dy 0.000 0.500 0.243
3 Dy 0.000 0.500 0.757
4 Dy 0.500 0.000 0.243
5 Dy 0.500 0.000 0.757
6 Y 0.000 0.000 0.500
7 Y 0.500 0.500 0.500
8 Mg 0.500 0.500 0.000

N(E_F)	16.119	states/eV/cell
size of the total moment	0.0001	μB per atom
formation energy	0.099	eV/atom
density	6.61	g/cm³
electronic total energy	-4.6134	eV per atom

Nd2Dy6Y3Mg after structural relaxation, computed with PBE-GGA.

Cell lengths 6.149, 6.149, 11.781 Å; angles 95.01, 95.01, 120.04 degrees
Fractional positions:
1 Nd 0.166 0.834 0.000
2 Nd 0.834 0.166 0.000
3 Dy 0.085 0.417 0.749
4 Dy 0.251 0.251 0.251
5 Dy 0.417 0.085 0.749
6 Dy 0.583 0.915 0.251
7 Dy 0.749 0.749 0.749
8 Dy 0.915 0.583 0.251
9 Y 0.000 0.000 0.500
10 Y 0.334 0.666 0.500
11 Y 0.666 0.334 0.500
12 Mg 0.500 0.500 0.000

N(E_F)	17.409	states/eV/cell
size of the total moment	0.0000	μB per atom
formation energy	0.022	eV/atom
density	6.80	g/cm³
electronic total energy	-4.8222	eV per atom

Nd2DyYMg after structural relaxation, computed with PBE-GGA.

Cell lengths 5.973, 7.582, 7.179 Å; angles 90.00, 90.00, 90.00 degrees
Fractional positions:
1 Nd 0.250 0.213 0.195
2 Nd 0.250 0.787 0.195
3 Nd 0.750 0.213 0.805
4 Nd 0.750 0.787 0.805
5 Dy 0.250 0.000 0.655
6 Dy 0.750 0.000 0.345
7 Y 0.250 0.500 0.877
8 Y 0.750 0.500 0.123
9 Mg 0.000 0.500 0.500
10 Mg 0.500 0.500 0.500

N(E_F)	14.564	states/eV/cell
size of the total moment	0.0000	μB per atom
formation energy	0.162	eV/atom
density	5.76	g/cm³
electronic total energy	-4.2770	eV per atom

NdDy2Y2Mg5 after structural relaxation, computed with PBE-GGA.

Cell lengths 10.653, 10.653, 5.124 Å; angles 90.00, 90.00, 90.00 degrees
Fractional positions:
1 Nd 0.000 0.000 0.000
2 Nd 0.500 0.500 0.000
3 Dy 0.119 0.381 0.000
4 Dy 0.381 0.881 0.000
5 Dy 0.619 0.119 0.000
6 Dy 0.881 0.619 0.000
7 Y 0.178 0.678 0.000
8 Y 0.322 0.178 0.000
9 Y 0.678 0.822 0.000
10 Y 0.822 0.322 0.000
11 Mg 0.000 0.500 0.500
12 Mg 0.075 0.197 0.500
13 Mg 0.197 0.925 0.500
14 Mg 0.303 0.425 0.500
15 Mg 0.425 0.697 0.500
16 Mg 0.500 0.000 0.500
17 Mg 0.575 0.303 0.500
18 Mg 0.697 0.575 0.500
19 Mg 0.803 0.075 0.500
20 Mg 0.925 0.803 0.500

N(E_F)	20.646	states/eV/cell
size of the total moment	0.0000	μB per atom
formation energy	0.077	eV/atom
density	4.39	g/cm³
electronic total energy	-3.4108	eV per atom

Nd4Dy2YMg after structural relaxation, computed with PBE-GGA.

Cell lengths 5.784, 5.784, 7.785 Å; angles 90.00, 90.00, 90.00 degrees
Fractional positions:
1 Nd 0.000 0.500 0.238
2 Nd 0.000 0.500 0.762
3 Nd 0.500 0.000 0.238
4 Nd 0.500 0.000 0.762
5 Dy 0.000 0.000 0.000
6 Dy 0.500 0.500 0.500
7 Y 0.000 0.000 0.500
8 Mg 0.500 0.500 0.000

N(E_F)	10.679	states/eV/cell
size of the total moment	0.0000	μB per atom
formation energy	0.048	eV/atom
density	6.47	g/cm³
electronic total energy	-4.4939	eV per atom